# 1
VASP calculation (PBE) on crystalline HfMnTc2 at its relaxed geometry.

a = 3.164 Å, b = 3.164 Å, c = 6.190 Å
α = 90.00°, β = 90.00°, γ = 90.00°
Fractional positions:
Mn: 0.500 0.500 0.000
Hf: 0.500 0.500 0.500
Tc: 0.000 0.000 0.771
Tc: 0.000 0.000 0.229

Values from the calculation:
The total energy is -10.10 eV per atom. The distance to the lowest polymorph of the same formula is 0 meV per atom.

# 2
VASP calculation (PBE) on crystalline MgPaPd2 at its relaxed geometry.

a = 3.076 Å, b = 3.076 Å, c = 9.344 Å
α = 80.53°, β = 80.53°, γ = 60.00°
Fractional positions:
Mg: 0.000 0.000 0.000
Pa: 0.500 0.500 0.500
Pd: 0.743 0.743 0.770
Pd: 0.257 0.257 0.230

Values from the calculation:
The total energy is -5.72 eV per atom. The distance to the lowest polymorph of the same formula is 236 meV per atom.

# 3
VASP calculation (PBE) on crystalline CeSm2Dy9 at its relaxed geometry.

a = 5.026 Å, b = 5.026 Å, c = 15.077 Å
α = 90.00°, β = 90.00°, γ = 90.00°
Fractional positions:
Ce: 0.000 0.000 0.000
Sm: 0.000 0.000 0.332
Sm: 0.000 0.000 0.668
Dy: 0.500 0.500 0.000
Dy: 0.500 0.500 0.334
Dy: 0.500 0.500 0.666
Dy: 0.500 0.000 0.164
Dy: 0.500 0.000 0.500
Dy: 0.500 0.000 0.836
Dy: 0.000 0.500 0.164
Dy: 0.000 0.500 0.500
Dy: 0.000 0.500 0.836

Values from the calculation:
The total energy is -4.70 eV per atom.

# 4
VASP calculation (PBE) on crystalline Nb2Te6Ru at its relaxed geometry.

a = 7.068 Å, b = 7.059 Å, c = 8.911 Å
α = 90.00°, β = 83.31°, γ = 90.00°
Fractional positions:
Nb: 0.993 0.352 0.746
Nb: 0.507 0.852 0.754
Nb: 0.493 0.148 0.246
Nb: 0.007 0.648 0.254
Te: 0.860 0.005 0.237
Te: 0.839 0.664 0.576
Te: 0.852 0.661 0.940
Te: 0.648 0.161 0.560
Te: 0.661 0.164 0.924
Te: 0.640 0.505 0.263
Te: 0.140 0.995 0.763
Te: 0.161 0.336 0.424
Te: 0.148 0.339 0.060
Te: 0.352 0.839 0.440
Te: 0.339 0.836 0.076
Te: 0.360 0.495 0.737
Ru: 0.500 0.500 0.000
Ru: 0.000 0.000 0.500

Values from the calculation:
The total energy is -5.55 eV per atom. The value obtained for the uncorrected formation energy is -4.39 kcal/mol of atoms.